No. 1
Tb2YErTm2 after structural relaxation, computed with GGA-PBE.

Lattice parameters (Å, degrees): 3.4658 16.0444 6.9208 90.00 90.00 90.00
Element x y z (fractional)
Tm  0.0000  0.6536  0.2511
Tm  0.5000  0.1536  0.2489
Tm  0.5000  0.8464  0.7511
Tm  0.0000  0.3464  0.7489
Y  0.5000  0.5000  0.0000
Y  0.0000  0.0000  0.5000
Tb  0.0000  0.6589  0.7498
Tb  0.5000  0.8411  0.2498
Tb  0.0000  0.3411  0.2502
Tb  0.5000  0.1589  0.7502
Er  0.5000  0.5000  0.5000
Er  0.0000  0.0000  0.0000

Properties
Size of the total moment = 0.02 μB/cell
Total DFT energy (no corrections) = -4.7078 eV/atom

No. 2
BeCu2HAu after structural relaxation, computed with GGA-PBE.

Lattice parameters (Å, degrees): 3.6199 3.6199 4.0542 90.00 90.00 90.00
Element x y z (fractional)
Be  0.0000  0.0000  0.5000
H  0.0000  0.0000  0.0000
Au  0.5000  0.5000  0.5000
Cu  0.0000  0.5000  0.0000
Cu  0.5000  0.0000  0.0000

Properties
Size of the total moment = 0.00 μB/cell
Total DFT energy (no corrections) = -3.6487 eV/atom

No. 3
AcPa2SiC4 after structural relaxation, computed with GGA-PBE.

Lattice parameters (Å, degrees): 3.6422 6.3591 11.8100 90.00 90.00 106.64
Element x y z (fractional)
Ac  0.9027  0.8054  0.2500
Ac  0.0973  0.1946  0.7500
Pa  0.3685  0.7371  0.5499
Pa  0.6315  0.2629  0.4501
Pa  0.6315  0.2629  0.0499
Pa  0.3685  0.7371  0.9501
Si  0.1713  0.3426  0.2500
Si  0.8287  0.6574  0.7500
C  0.4097  0.8194  0.7500
C  0.5903  0.1806  0.2500
C  0.0000  0.0000  0.5000
C  0.0000  0.0000  0.0000
C  0.2595  0.5190  0.3814
C  0.7405  0.4810  0.8814
C  0.2595  0.5190  0.1186
C  0.7405  0.4810  0.6186

Properties
Raw formation energy = -0.26 eV per atom
Size of the total moment = 0.00 μB/cell
Total DFT energy (no corrections) = -8.4399 eV/atom

No. 4
ZrS2NCl after structural relaxation, computed with GGA-PBE.

Lattice parameters (Å, degrees): 4.2344 4.2344 4.2279 90.00 90.00 90.00
Element x y z (fractional)
N  0.0000  0.0000  0.0000
S  0.5000  0.0000  0.0000
S  0.0000  0.5000  0.0000
Zr  0.5000  0.5000  0.5000
Cl  0.0000  0.0000  0.5000

Properties
Raw formation energy = 0.42 eV per atom
Excess energy over the best structure of this formula in the dataset = 0.1966 eV per atom
Size of the total moment = 0.00 μB/cell
Total DFT energy (no corrections) = -4.9778 eV/atom

No. 5
ScMnAg3 after structural relaxation, computed with GGA-PBE.

Lattice parameters (Å, degrees): 5.0902 5.0902 5.0902 90.00 90.00 90.00
Site moments in Bohr magnetons follow the coordinates.
Element x y z (fractional)
Ag  0.0000  0.0000  0.5000  0.03
Ag  0.0000  0.5000  0.0000  0.00
Ag  0.5000  0.0000  0.0000  -0.01
Sc  0.0000  0.0000  0.0000  -0.03
Mn  0.5000  0.5000  0.5000  4.42

Properties
Excess energy over the best structure of this formula in the dataset = 0.4404 eV per atom
Size of the total moment = 4.71 μB/cell
Total DFT energy (no corrections) = -3.7051 eV/atom

No. 6
YMn2Si after structural relaxation, computed with GGA-PBE.

Lattice parameters (Å, degrees): 4.1732 3.2299 5.4573 78.14 90.00 90.00
Site moments in Bohr magnetons follow the coordinates.
Element x y z (fractional)
Si  0.5000  0.2500  0.2500  -0.09
Y  0.5000  0.7500  0.7500  -0.15
Mn  0.0000  0.3960  0.4580  3.21
Mn  0.0000  0.1040  0.0420  3.21

Properties
Raw formation energy = 0.08 eV per atom
Size of the total moment = 6.30 μB/cell
Total DFT energy (no corrections) = -7.4759 eV/atom

No. 7
Rb2HSeO4 after structural relaxation, computed with GGA-PBE.

Lattice parameters (Å, degrees): 4.5720 6.4417 10.5347 85.58 77.47 69.21
Site moments in Bohr magnetons follow the coordinates.
Element x y z (fractional)
O  0.4784  0.6638  0.4124  0.16
O  0.8579  0.6638  0.5876  0.16
O  0.1955  0.1638  0.9124  0.16
O  0.8921  0.8362  0.9124  0.16
O  0.5545  0.3362  0.5876  0.16
O  0.6408  0.1638  0.0876  0.16
O  0.1092  0.3362  0.4124  0.16
O  0.2716  0.8362  0.0876  0.16
Rb  0.9217  0.5000  0.1567  0.01
Rb  0.5783  0.5000  0.8433  0.01
Rb  0.1717  0.0000  0.6567  0.01
Rb  0.8283  0.0000  0.3433  0.01
Se  0.2500  0.5000  0.5000  0.10
Se  0.5000  0.0000  0.0000  0.10
H  0.0000  0.0000  0.0000  -0.01
H  0.7500  0.5000  0.5000  -0.01

Properties
Size of the total moment = 1.87 μB/cell
Total DFT energy (no corrections) = -4.3911 eV/atom

No. 8
La5SmDy3 after structural relaxation, computed with GGA-PBE.

Lattice parameters (Å, degrees): 8.8020 8.8020 10.3028 115.29 115.29 90.00
Element x y z (fractional)
La  0.0000  0.0000  0.0000
La  0.9411  0.4411  0.2807
La  0.5000  0.5000  0.0000
La  0.8396  0.9411  0.2807
La  0.4411  0.3396  0.2807
La  0.0589  0.5589  0.7193
La  0.3396  0.8396  0.2807
La  0.5589  0.6604  0.7193
La  0.1604  0.0589  0.7193
La  0.6604  0.1604  0.7193
Dy  0.3798  0.8798  0.0000
Dy  0.1202  0.3798  0.0000
Dy  0.7500  0.7500  0.5000
Dy  0.8798  0.6202  0.0000
Dy  0.2500  0.2500  0.5000
Dy  0.6202  0.1202  0.0000
Sm  0.7500  0.2500  0.5000
Sm  0.2500  0.7500  0.5000

Properties
Excess energy over the best structure of this formula in the dataset = 0.0381 eV per atom
Size of the total moment = 0.00 μB/cell
Total DFT energy (no corrections) = -4.5165 eV/atom